Record 1
Computed, not measured: a relaxed CoAsOs2 crystal at the GGA-PBEsol level of DFT.

Properties
energy relative to the elements = 0.315 eV per atom
symmetry = C2/m, No. 12
mass density = 15.8 g/cm3

extended XYZ file:
```
4
Lattice="-1.752 2.108 -0.478 -2.758 -1.563 3.212 3.229 1.492 2.843" Properties=species:S:1:pos:R:3 pbc="T T T"
Os -1.822 1.069 3.289
Os 0.542 0.969 2.287
Co -1.379 -0.781 1.606
As -0.876 1.054 -0.239
```



Record 2
Computed, not measured: a relaxed Y2Al3Si2 crystal at the GGA-PBEsol level of DFT.

Properties
energy relative to the elements, uncorrected = -0.606 eV per atom
symmetry = C2/m, No. 12
mass density = 4.0 g/cm3

extended XYZ file:
```
7
Lattice="4.020 0.000 0.000 -2.010 5.044 0.013 0.000 -1.262 6.431" Properties=species:S:1:pos:R:3 pbc="T T T"
Si 0.000 0.761 0.905
Si 2.010 3.020 5.540
Y 2.010 0.166 5.295
Y 0.000 3.616 1.150
Al 0.000 2.281 4.080
Al 2.010 1.501 2.364
Al 0.000 -0.631 3.216
```



Record 3
Computed, not measured: a relaxed BaNiRu2 crystal at the GGA-PBEsol level of DFT.

Properties
excess energy over the best structure of this formula in the dataset = 0.000 eV/f.u.
energy relative to the elements = 0.344 eV per atom
symmetry = R-3m, No. 166
mass density = 7.6 g/cm3

extended XYZ file:
```
4
Lattice="-1.927 -1.605 3.372 -2.920 -2.984 -0.471 2.390 -5.511 1.361" Properties=species:S:1:pos:R:3 pbc="T T T"
Ru 0.158 -3.293 1.141
Ru -2.616 -6.808 3.120
Ba 0.000 0.000 0.000
Ni -1.229 -5.050 2.131
```



Record 4
Computed, not measured: a relaxed KCa2Te crystal at the GGA-PBEsol level of DFT.

Properties
energy relative to the elements, uncorrected = -0.381 eV per atom
symmetry = I4/mmm, No. 139
mass density = 2.9 g/cm3

extended XYZ file:
```
4
Lattice="-1.998 1.128 4.443 -0.469 -4.872 1.026 6.351 1.864 -0.431" Properties=species:S:1:pos:R:3 pbc="T T T"
Te 0.000 0.000 0.000
Ca 2.324 -2.440 1.665
Ca 1.560 0.560 3.373
K -1.234 -1.872 2.735
```



Record 5
Computed, not measured: a relaxed ZnIn2SnAs4 crystal at the GGA-PBEsol level of DFT.

Properties
energy relative to the elements = -0.167 eV per atom
symmetry = I-42m, No. 121
mass density = 5.6 g/cm3

extended XYZ file:
```
8
Lattice="-2.546 -2.407 4.820 -1.319 -4.891 -3.139 7.176 1.232 0.722" Properties=species:S:1:pos:R:3 pbc="T T T"
In 1.962 -3.654 -0.788
In 1.349 -2.412 3.191
As 3.671 -1.189 3.275
As 0.332 -2.313 0.773
As 4.313 -2.491 -0.896
As -1.694 -6.138 1.655
Zn 0.000 0.000 0.000
Sn -1.932 -3.649 0.841
```



Record 6
Computed, not measured: a relaxed FeCo2Tc crystal at the GGA-PBEsol level of DFT.

Properties
energy relative to the elements = 0.086 eV per atom
symmetry = P4mm, No. 99
mass density = 10.0 g/cm3

extended XYZ file:
```
4
Lattice="2.537 0.000 0.000 0.000 2.537 0.000 0.000 0.000 7.002" Properties=species:S:1:pos:R:3 pbc="T T T"
Co 0.000 0.000 0.096
Co 1.269 1.269 1.734
Fe 0.000 0.000 3.394
Tc 1.269 1.269 5.279
```



Record 7
Computed, not measured: a relaxed SrMg3I crystal at the GGA-PBEsol level of DFT.

Properties
energy relative to the elements, uncorrected = 0.677 eV per atom
symmetry = Pm-3m, No. 221
mass density = 1.7 g/cm3

extended XYZ file:
```
5
Lattice="6.584 0.000 0.000 0.000 6.584 0.000 0.000 0.000 6.584" Properties=species:S:1:pos:R:3 pbc="T T T"
I 3.292 3.292 3.292
Sr 0.000 0.000 0.000
Mg 3.292 0.000 0.000
Mg 0.000 0.000 3.292
Mg 0.000 3.292 0.000
```



Record 8
Computed, not measured: a relaxed SnSe3I crystal at the GGA-PBEsol level of DFT.

Properties
energy relative to the elements, uncorrected = 0.558 eV per atom
symmetry = Pm-3m, No. 221
mass density = 5.3 g/cm3

extended XYZ file:
```
5
Lattice="5.313 0.000 0.000 0.000 5.313 0.000 0.000 0.000 5.313" Properties=species:S:1:pos:R:3 pbc="T T T"
I 0.000 0.000 0.000
Sn 2.656 2.656 2.656
Se 2.656 0.000 0.000
Se 0.000 2.656 0.000
Se 0.000 0.000 2.656
```



Record 9
Computed, not measured: a relaxed Ba3Cd2As4 crystal at the GGA-PBEsol level of DFT.

Properties
energy relative to the elements = -0.845 eV per atom
symmetry = C2/m, No. 12
mass density = 6.0 g/cm3

extended XYZ file:
```
9
Lattice="-0.150 3.324 3.132 -3.177 -4.558 4.686 8.539 -1.853 -0.958" Properties=species:S:1:pos:R:3 pbc="T T T"
Ba 4.639 -0.388 3.967
Ba 0.000 0.000 0.000
Ba 0.573 -2.700 2.893
As 7.347 -1.670 2.124
As 2.314 -2.133 5.709
As -2.134 -1.418 4.736
As 2.898 -0.954 1.151
Cd 5.521 -0.261 0.541
Cd -0.309 -2.827 6.319
```



Record 10
Computed, not measured: a relaxed BaAl2Te crystal at the GGA-PBEsol level of DFT.

Properties
energy relative to the elements, uncorrected = -0.290 eV per atom
symmetry = Imm2, No. 44
mass density = 4.5 g/cm3

extended XYZ file:
```
4
Lattice="-3.881 -1.554 -1.772 2.379 -1.862 -3.576 1.334 -2.967 5.497" Properties=species:S:1:pos:R:3 pbc="T T T"
Te 1.455 -3.057 -0.504
Al 0.087 -0.697 0.421
Al -1.674 -2.910 0.401
Ba 0.548 -4.396 2.654
```



Record 11
Computed, not measured: a relaxed HfNiPb3 crystal at the GGA-PBEsol level of DFT.

Properties
energy relative to the elements = 1.123 eV per atom
symmetry = Pm-3m, No. 221
mass density = 8.5 g/cm3

extended XYZ file:
```
5
Lattice="5.509 0.000 0.000 0.000 5.509 0.000 0.000 0.000 5.509" Properties=species:S:1:pos:R:3 pbc="T T T"
Pb 0.000 0.000 2.754
Pb 2.754 0.000 0.000
Pb 0.000 2.754 0.000
Ni 2.754 2.754 2.754
Hf 0.000 0.000 0.000
```



Record 12
Computed, not measured: a relaxed SiSbW2 crystal at the GGA-PBEsol level of DFT.

Properties
excess energy over the best structure of this formula in the dataset = 0.000 eV/f.u.
energy relative to the elements, uncorrected = 0.259 eV per atom
symmetry = Cm, No. 8
mass density = 13.2 g/cm3

extended XYZ file:
```
4
Lattice="-2.909 0.796 1.046 1.410 -0.671 4.432 2.270 3.954 -1.564" Properties=species:S:1:pos:R:3 pbc="T T T"
W 0.684 4.076 3.672
W -0.662 2.354 1.239
Si 1.576 1.717 3.078
Sb 1.466 4.026 1.014
```



Record 13
Computed, not measured: a relaxed La2YAl crystal at the GGA-PBEsol level of DFT.

Properties
energy relative to the elements = -0.148 eV per atom
symmetry = I-4m2, No. 119
mass density = 5.9 g/cm3

extended XYZ file:
```
4
Lattice="-1.255 3.359 -3.157 -4.072 -2.341 -0.872 0.451 2.013 5.578" Properties=species:S:1:pos:R:3 pbc="T T T"
Al -3.142 0.090 1.346
Y -2.664 0.509 -2.014
La 0.000 0.000 0.000
La -1.734 2.940 0.204
```



Record 14
Computed, not measured: a relaxed Tc24Sb5 crystal at the GGA-PBEsol level of DFT.

Properties
energy relative to the elements, uncorrected = 0.086 eV per atom
symmetry = I-43m, No. 217
mass density = 11.2 g/cm3

extended XYZ file:
```
29
Lattice="-0.368 7.631 -3.209 -7.644 -3.162 0.491 3.337 0.348 7.577" Properties=species:S:1:pos:R:3 pbc="T T T"
Tc -1.645 4.578 0.281
Tc 1.186 1.622 2.229
Tc -2.698 0.456 3.955
Tc -1.632 2.259 -1.114
Tc -0.366 3.915 2.769
Tc 1.077 5.323 0.833
Tc -3.867 -2.010 3.346
Tc 0.513 2.944 0.270
Tc -0.235 -0.486 2.952
Tc -3.885 2.790 0.498
Tc -2.985 4.492 2.400
Tc -2.229 -1.124 1.665
Tc -3.290 3.928 -1.985
Tc -2.261 3.069 4.507
Tc -2.953 0.299 -0.442
Tc 1.001 5.846 3.604
Tc -0.171 1.682 4.570
Tc -4.538 0.287 1.752
Tc -0.772 -1.021 5.343
Tc -5.340 0.886 -0.943
Tc 2.121 3.271 3.872
Tc -4.406 2.384 3.123
Tc -3.532 -0.879 5.909
Tc -5.841 3.659 -0.812
Sb -0.230 4.772 -2.007
Sb 0.000 0.000 0.000
Sb -1.751 1.804 1.820
Sb -4.780 -1.977 0.307
Sb 2.087 0.217 4.738
```



Record 15
Computed, not measured: a relaxed Cs2YZrIr crystal at the GGA-PBEsol level of DFT.

Properties
energy relative to the elements = 1.309 eV per atom
symmetry = P4/mmm, No. 123
mass density = 5.6 g/cm3

extended XYZ file:
```
5
Lattice="-3.567 -1.222 -2.915 3.762 -4.135 -2.871 -1.793 -4.450 4.059" Properties=species:S:1:pos:R:3 pbc="T T T"
Y -0.799 -4.903 -0.864
Cs 1.881 -2.067 -1.435
Cs -0.897 -2.225 2.030
Ir -1.784 -0.611 -1.458
Zr 0.000 0.000 0.000
```



Record 16
Computed, not measured: a relaxed LaP2Br crystal at the GGA-PBEsol level of DFT.

Properties
excess energy over the best structure of this formula in the dataset = 0.306 eV/f.u.
energy relative to the elements, uncorrected = -0.800 eV per atom
symmetry = P4mm, No. 99
mass density = 5.1 g/cm3

extended XYZ file:
```
4
Lattice="3.438 0.000 0.000 0.000 3.438 0.000 0.000 0.000 7.707" Properties=species:S:1:pos:R:3 pbc="T T T"
Br 0.000 0.000 4.161
P 0.000 0.000 0.354
P 1.719 1.719 1.063
La 1.719 1.719 5.983
```



Record 17
Computed, not measured: a relaxed ScTl2In crystal at the GGA-PBEsol level of DFT.

Properties
energy relative to the elements = -0.001 eV per atom
symmetry = F-43m, No. 216
mass density = 9.4 g/cm3

extended XYZ file:
```
4
Lattice="5.209 0.000 0.000 2.604 4.511 0.000 2.604 1.504 4.253" Properties=species:S:1:pos:R:3 pbc="T T T"
Sc 2.604 1.504 1.063
Tl 7.813 4.511 3.190
Tl 0.000 0.000 0.000
In 5.209 3.007 2.127
```



Record 18
Computed, not measured: a relaxed YCuI2N crystal at the GGA-PBEsol level of DFT.

Properties
energy relative to the elements, uncorrected = 0.225 eV per atom
symmetry = P4/mmm, No. 123
mass density = 4.8 g/cm3

extended XYZ file:
```
5
Lattice="-2.300 1.302 -3.106 -4.941 -1.402 3.072 -0.087 5.496 2.368" Properties=species:S:1:pos:R:3 pbc="T T T"
I -0.043 2.748 1.184
I -2.471 -0.701 1.536
N -1.150 0.651 -1.553
Cu -3.664 2.698 1.167
Y 0.000 0.000 0.000
```



Record 19
Computed, not measured: a relaxed SnBi2Sb crystal at the GGA-PBEsol level of DFT.

Properties
excess energy over the best structure of this formula in the dataset = 0.868 eV/f.u.
energy relative to the elements, uncorrected = 0.310 eV per atom
symmetry = I-42d, No. 122
mass density = 6.7 g/cm3

extended XYZ file:
```
8
Lattice="-2.937 0.729 5.637 5.313 -1.903 3.014 1.313 8.097 -3.994" Properties=species:S:1:pos:R:3 pbc="T T T"
Bi 1.283 5.925 -1.914
Bi -0.249 1.948 5.064
Bi 3.876 0.632 3.753
Bi 2.470 5.339 2.411
Sn -0.218 4.119 2.985
Sn 1.188 -0.587 4.326
Sb 3.907 2.803 1.673
Sb 0.000 0.000 0.000
```



Record 20
Computed, not measured: a relaxed CdSi2Pb2 crystal at the GGA-PBEsol level of DFT.

Properties
energy relative to the elements, uncorrected = 0.384 eV per atom
symmetry = I4/mmm, No. 139
mass density = 7.8 g/cm3

extended XYZ file:
```
5
Lattice="5.205 0.000 0.000 -2.602 5.252 0.045 0.000 2.540 4.543" Properties=species:S:1:pos:R:3 pbc="T T T"
Si 2.602 2.288 1.702
Si 0.000 5.504 2.886
Pb 0.000 3.261 1.158
Pb 2.602 4.531 3.430
Cd 0.000 0.000 0.000
```



Record 21
Computed, not measured: a relaxed Tl3RhCl crystal at the GGA-PBEsol level of DFT.

Properties
excess energy over the best structure of this formula in the dataset = 0.000 eV/f.u.
energy relative to the elements, uncorrected = -0.317 eV per atom
symmetry = Pm-3m, No. 221
mass density = 9.0 g/cm3

extended XYZ file:
```
5
Lattice="5.184 0.000 0.000 0.000 5.184 0.000 0.000 0.000 5.184" Properties=species:S:1:pos:R:3 pbc="T T T"
Rh 0.000 0.000 0.000
Tl 2.592 0.000 0.000
Tl 0.000 2.592 0.000
Tl 0.000 0.000 2.592
Cl 2.592 2.592 2.592
```



Record 22
Computed, not measured: a relaxed Cu2AsPt crystal at the GGA-PBEsol level of DFT.

Properties
energy relative to the elements = -0.037 eV per atom
symmetry = P4mm, No. 99
mass density = 12.0 g/cm3

extended XYZ file:
```
4
Lattice="-2.534 1.589 1.242 -1.988 -2.305 -1.106 0.552 -2.634 4.498" Properties=species:S:1:pos:R:3 pbc="T T T"
Cu 0.010 -0.050 0.085
Cu -2.133 -0.967 1.107
Pt 0.279 -1.331 2.272
As -1.850 -2.320 3.417
```



Record 23
Computed, not measured: a relaxed Ca2ZnFe crystal at the GGA-PBEsol level of DFT.

Properties
energy relative to the elements = 0.527 eV per atom
symmetry = R-3m, No. 166
mass density = 3.5 g/cm3

extended XYZ file:
```
4
Lattice="-3.207 -0.073 1.350 -0.433 -0.188 3.448 -1.213 8.969 2.092" Properties=species:S:1:pos:R:3 pbc="T T T"
Fe -2.426 4.354 3.445
Zn 0.000 0.000 0.000
Ca -3.639 6.423 5.161
Ca -1.213 2.284 1.728
```



Record 24
Computed, not measured: a relaxed HgSe crystal at the GGA-PBEsol level of DFT.

Properties
energy relative to the elements, uncorrected = -0.099 eV per atom
symmetry = Fm-3m, No. 225
mass density = 10.2 g/cm3

extended XYZ file:
```
2
Lattice="-1.943 -2.240 2.698 1.629 -3.420 1.312 1.374 -0.254 3.757" Properties=species:S:1:pos:R:3 pbc="T T T"
Hg 0.000 0.000 0.000
Se 0.530 -2.957 3.883
```



Record 25
Computed, not measured: a relaxed Ba2AgP crystal at the GGA-PBEsol level of DFT.

Properties
energy relative to the elements = -0.535 eV per atom
symmetry = P4/mmm, No. 123
mass density = 5.7 g/cm3

extended XYZ file:
```
4
Lattice="-3.782 -0.093 1.425 -0.676 -4.980 -2.117 1.806 -2.218 4.640" Properties=species:S:1:pos:R:3 pbc="T T T"
Ba 0.565 -3.599 1.261
Ba 0.000 0.000 0.000
P -2.229 -2.536 -0.346
Ag -0.988 -1.155 3.033
```



Record 26
Computed, not measured: a relaxed Cr2NO crystal at the GGA-PBEsol level of DFT.

Properties
excess energy over the best structure of this formula in the dataset = 1.978 eV/f.u.
energy relative to the elements, uncorrected = -0.398 eV per atom
symmetry = Fm-3m, No. 225
mass density = 7.0 g/cm3

extended XYZ file:
```
4
Lattice="-2.085 0.368 -2.850 -1.515 -2.854 -1.471 -3.504 -0.496 0.287" Properties=species:S:1:pos:R:3 pbc="T T T"
Cr -5.327 -2.236 -3.025
Cr -1.776 -0.745 -1.008
O -3.552 -1.491 -2.017
N 0.000 0.000 0.000
```



Record 27
Computed, not measured: a relaxed BeHO2F crystal at the GGA-PBEsol level of DFT.

Properties
symmetry = P4/mmm, No. 123
DFT total energy = -20.788 eV per cell
mass density = 3.0 g/cm3

extended XYZ file:
```
5
Lattice="2.865 0.000 0.000 0.000 2.865 0.000 0.000 0.000 4.080" Properties=species:S:1:pos:R:3 pbc="T T T"
H 0.000 0.000 0.000
O 0.000 1.432 0.000
O 1.432 0.000 0.000
Be 1.432 1.432 2.040
F 0.000 0.000 2.040
```



Record 28
Computed, not measured: a relaxed OsRu2Pb crystal at the GGA-PBEsol level of DFT.

Properties
energy relative to the elements = 0.650 eV per atom
symmetry = Pmm2, No. 25
mass density = 15.8 g/cm3

extended XYZ file:
```
4
Lattice="2.880 0.000 0.000 0.000 4.426 0.000 0.000 0.000 4.930" Properties=species:S:1:pos:R:3 pbc="T T T"
Pb 1.440 2.213 1.027
Ru 0.000 2.213 3.485
Ru 0.000 0.000 0.066
Os 1.440 0.000 2.815
```